# 1
The following is a PBE-GGA calculation of a geometry-optimized K2ZrTiS4 structure, from the Alexandria database.

Lattice parameters (Å, degrees): 7.1824 7.1824 9.0849 90.00 90.00 90.00
Last column: nearest neighbours and their distance in Å.
Space group I-4 (No. 82)
Asymmetric unit:
K  0.0000  0.0000  0.0000  4 S 3.16
K  0.0000  0.5000  0.2500  4 S 3.29
Zr  0.0000  0.5000  0.7500  4 S 2.45
Ti  0.0000  0.0000  0.5000  4 S 2.41
S  0.1625  0.7433  0.6121  1 Ti 2.41, 1 Zr 2.45

Uncorrected formation energy = -1.229 eV per atom

---

# 2
The following is a PBE-GGA calculation of a geometry-optimized KTl3S structure, from the Alexandria database.

Lattice parameters (Å, degrees): 5.9060 5.9060 5.9060 90.00 90.00 90.00
Last column: nearest neighbours and their distance in Å.
Space group Pm-3m (No. 221)
Asymmetric unit:
K  0.0000  0.0000  0.0000  12 Tl 4.18
Tl  0.0000  0.5000  0.5000  2 S 2.95
S  0.5000  0.5000  0.5000  6 Tl 2.95

ΔE to the lowest computed polymorph = 0.00 kcal/mol of atoms
Uncorrected formation energy = -0.020 eV per atom

---

# 3
The following is a PBE-GGA calculation of a geometry-optimized K2Tl2S3 structure, from the Alexandria database.

Lattice parameters (Å, degrees): 15.2766 4.3966 7.5626 90.00 111.62 90.00
Last column: nearest neighbours and their distance in Å.
Space group C2/m (No. 12)
Asymmetric unit:
K  0.1129  0.0000  0.3613  5 S 3.20-3.33
Tl  0.1596  0.5000  0.8126  4 S 2.70-2.87
S  0.0000  0.5000  0.5000  2 Tl 2.70
S  0.2228  0.5000  0.2025  3 Tl 2.74-2.87

Uncorrected formation energy = -0.657 eV per atom

---

# 4
The following is a PBE-GGA calculation of a geometry-optimized KTl5S4 structure, from the Alexandria database.

Lattice parameters (Å, degrees): 9.2807 10.0257 7.5581 90.00 90.00 90.00
Last column: nearest neighbours and their distance in Å.
Space group Pmmn (No. 59, origin choice 2)
Asymmetric unit:
K  0.2500  0.2500  0.1148  4 S 2.98-3.07
Tl  0.0106  0.0484  0.7377  3 S 3.00-3.24
Tl  0.2500  0.7500  0.8274  4 S 2.54-2.60
S  0.0188  0.7500  0.6480  1 Tl 2.54
S  0.2500  0.5393  0.0275  1 Tl 2.60

Uncorrected formation energy = -0.395 eV per atom

---

# 5
The following is a PBE-GGA calculation of a geometry-optimized KTl2S structure, from the Alexandria database.

Lattice parameters (Å, degrees): 7.8427 7.8427 7.8427 90.00 90.00 90.00
Last column: nearest neighbours and their distance in Å.
Space group Fm-3m (No. 225)
Asymmetric unit:
K  0.0000  0.0000  0.0000  8 Tl 3.40
Tl  0.2500  0.2500  0.2500  4 S 3.40, 4 K 3.40
S  0.0000  0.0000  0.5000  8 Tl 3.40

ΔE to the lowest computed polymorph = 5.41 kcal/mol of atoms
Uncorrected formation energy = -0.146 eV per atom

---

# 6
The following is a PBE-GGA calculation of a geometry-optimized KTl2S structure, from the Alexandria database.

Lattice parameters (Å, degrees): 8.9790 8.9790 6.4133 90.00 90.00 90.00
Last column: nearest neighbours and their distance in Å.
Space group I-42d (No. 122)
Asymmetric unit:
K  0.0000  0.0000  0.0000  2 S 3.21
Tl  0.1947  0.2500  0.6250  2 S 2.96
S  0.0000  0.0000  0.5000  4 Tl 2.96, 2 K 3.21

ΔE to the lowest computed polymorph = 0.00 kcal/mol of atoms
Uncorrected formation energy = -0.381 eV per atom

---

# 7
The following is a PBE-GGA calculation of a geometry-optimized K3TlS3 structure, from the Alexandria database.

Lattice parameters (Å, degrees): 8.8032 13.5465 7.7293 90.00 99.50 90.00
Last column: nearest neighbours and their distance in Å.
Space group C2/m (No. 12)
Asymmetric unit:
K  0.0000  0.1769  0.0000  6 S 3.16-3.50
K  0.0000  0.2367  0.5000  4 S 3.26-3.39
K  0.1105  0.5000  0.8569  3 S 3.01-3.32, 1 K 3.18
Tl  0.1920  0.0000  0.6420  4 S 2.50-2.67
S  0.0995  0.0000  0.3031  2 Tl 2.61-2.67
S  0.1865  0.3458  0.2230  1 Tl 2.50

Uncorrected formation energy = -0.879 eV per atom

---

# 8
The following is a PBE-GGA calculation of a geometry-optimized KTl3S structure, from the Alexandria database.

Lattice parameters (Å, degrees): 6.1304 6.1304 6.1304 90.00 90.00 90.00
Last column: nearest neighbours and their distance in Å.
Space group Pm-3m (No. 221)
Asymmetric unit:
K  0.0000  0.0000  0.0000  6 Tl 3.07
Tl  0.0000  0.0000  0.5000  2 K 3.07
S  0.5000  0.5000  0.5000  12 Tl 4.33

ΔE to the lowest computed polymorph = 17.05 kcal/mol of atoms
Uncorrected formation energy = 0.719 eV per atom

---

# 9
The following is a PBE-GGA calculation of a geometry-optimized K3TlS structure, from the Alexandria database.

Lattice parameters (Å, degrees): 6.1129 6.1129 6.1129 90.00 90.00 90.00
Last column: nearest neighbours and their distance in Å.
Space group Pm-3m (No. 221)
Asymmetric unit:
K  0.0000  0.0000  0.5000  2 S 3.06
Tl  0.5000  0.5000  0.5000  12 K 4.32
S  0.0000  0.0000  0.0000  6 K 3.06

ΔE to the lowest computed polymorph = 0.00 kcal/mol of atoms
Uncorrected formation energy = -0.441 eV per atom

---

# 10
The following is a PBE-GGA calculation of a geometry-optimized K2TlS2 structure, from the Alexandria database.

Lattice parameters (Å, degrees): 14.6287 6.3664 9.4091 90.00 117.40 90.00
Last column: nearest neighbours and their distance in Å.
Space group C2/m (No. 12)
Asymmetric unit:
K  0.0285  0.0000  0.2342  4 S 3.09-3.24
K  0.1635  0.5000  0.0671  5 S 3.20-3.56
Tl  0.1389  0.5000  0.6375  3 S 2.66-2.83
S  0.0280  0.5000  0.2995  2 Tl 2.77-2.83
S  0.1831  0.0000  0.0950  1 Tl 2.66

ΔE to the lowest computed polymorph = 2.57 kcal/mol of atoms
Uncorrected formation energy = -0.674 eV per atom

---

# 11
The following is a PBE-GGA calculation of a geometry-optimized K2TlS2 structure, from the Alexandria database.

Lattice parameters (Å, degrees): 4.9766 16.9656 7.5816 90.00 90.00 90.00
Last column: nearest neighbours and their distance in Å.
Space group Cmc2_1 (No. 36)
Asymmetric unit:
K  0.0000  0.0300  0.0000  5 S 3.11-3.34
K  0.0000  0.2001  0.3033  5 S 3.15-3.52
Tl  0.0000  0.4023  0.1498  4 S 2.74-2.83
S  0.0000  0.1594  0.7086  2 Tl 2.74
S  0.0000  0.4430  0.7878  2 Tl 2.83

ΔE to the lowest computed polymorph = 0.00 kcal/mol of atoms
Uncorrected formation energy = -0.786 eV per atom

---

# 12
The following is a PBE-GGA calculation of a geometry-optimized K2TlS2 structure, from the Alexandria database.

Lattice parameters (Å, degrees): 8.0486 8.0486 4.4952 90.00 90.00 90.00
Last column: nearest neighbours and their distance in Å.
Space group P4/mbm (No. 127)
Asymmetric unit:
K  0.1333  0.3667  0.0000  1 K 3.03, 2 S 3.08
Tl  0.0000  0.0000  0.5000  4 S 2.95
S  0.1819  0.6819  0.5000  2 Tl 2.95, 2 K 3.08

ΔE to the lowest computed polymorph = 3.34 kcal/mol of atoms
Uncorrected formation energy = -0.641 eV per atom

---

# 13
The following is a PBE-GGA calculation of a geometry-optimized K2TlS3 structure, from the Alexandria database.

Lattice parameters (Å, degrees): 14.9774 8.9183 6.5351 90.00 90.00 90.00
Last column: nearest neighbours and their distance in Å.
Space group Cmc2_1 (No. 36)
Asymmetric unit:
K  0.1623  0.1655  0.0000  5 S 3.14-3.33
Tl  0.0000  0.3398  0.5344  4 S 2.52-2.67
S  0.0000  0.3845  0.9382  2 Tl 2.54-2.67
S  0.1420  0.1916  0.4933  1 Tl 2.52

Uncorrected formation energy = -0.521 eV per atom

---

# 14
The following is a PBE-GGA calculation of a geometry-optimized KTl2S3 structure, from the Alexandria database.

Lattice parameters (Å, degrees): 23.0790 4.7638 7.9054 90.00 107.65 90.00
Last column: nearest neighbours and their distance in Å.
Space group C2/m (No. 12)
Asymmetric unit:
K  0.1376  0.0000  0.3132  4 S 3.10-3.28
Tl  0.0481  0.5000  0.7198  4 S 2.58-2.73
Tl  0.1986  0.0000  0.8612  4 S 2.66-2.83
S  0.0688  0.5000  0.4137  2 Tl 2.58-2.60
S  0.0859  0.0000  0.8839  3 Tl 2.66-2.73
S  0.2325  0.5000  0.7759  3 Tl 2.66-2.83

Uncorrected formation energy = -0.388 eV per atom

---

# 15
The following is a PBE-GGA calculation of a geometry-optimized KTl6S8 structure, from the Alexandria database.

Lattice parameters (Å, degrees): 11.4669 11.4669 11.2147 90.00 90.00 120.00
Last column: nearest neighbours and their distance in Å.
Space group R-3 (No. 148, hexagonal axes)
Asymmetric unit:
K  0.0000  0.0000  0.0000  8 S 3.39-3.64
Tl  0.0536  0.2512  0.6403  4 S 2.66-2.75
S  0.0000  0.0000  0.3249  3 Tl 2.66
S  0.0381  0.2821  0.1335  3 Tl 2.67-2.75

Uncorrected formation energy = -0.196 eV per atom

---

# 16
The following is a PBE-GGA calculation of a geometry-optimized KTlS4 structure, from the Alexandria database.

Lattice parameters (Å, degrees): 4.6680 4.9358 7.6493 85.15 76.90 88.94
Last column: nearest neighbours and their distance in Å.
Space group P1 (No. 1)
Asymmetric unit:
K  0.0000  0.0000  0.0000  9 S 3.31-3.58
Tl  0.0831  0.4739  0.4228  7 S 3.20-3.53
S  0.4814  0.5262  0.7551  2 S 2.05-2.18
S  0.5050  0.4974  0.0209  1 S 2.05
S  0.5631  0.9999  0.4167  1 S 2.05
S  0.6022  0.9505  0.6791  2 S 2.05-2.18

Uncorrected formation energy = -0.379 eV per atom

---

# 17
The following is a PBE-GGA calculation of a geometry-optimized K3Tl2S4 structure, from the Alexandria database.

Lattice parameters (Å, degrees): 13.8943 10.8395 7.7755 90.00 90.15 90.00
Last column: nearest neighbours and their distance in Å.
Space group C2/c (No. 15)
Asymmetric unit:
K  0.0000  0.1004  0.2500  6 S 3.22-3.34
K  0.1185  0.3708  0.0145  5 S 3.24-3.42
Tl  0.1932  0.1235  0.5993  4 S 2.64-2.70
S  0.1190  0.3275  0.4496  2 Tl 2.69-2.70
S  0.1530  0.0817  0.9300  2 Tl 2.64-2.67

Uncorrected formation energy = -0.711 eV per atom

---

# 18
The following is a PBE-GGA calculation of a geometry-optimized KTl2S structure, from the Alexandria database.

Lattice parameters (Å, degrees): 4.2350 4.2350 32.4811 90.00 90.00 120.00
Last column: nearest neighbours and their distance in Å.
Space group R-3m (No. 166, hexagonal axes)
Asymmetric unit:
K  0.0000  0.0000  0.0000  2 Tl 3.76
Tl  0.0000  0.0000  0.1159  3 S 2.95
S  0.0000  0.0000  0.5000  6 Tl 2.95

ΔE to the lowest computed polymorph = 3.54 kcal/mol of atoms
Uncorrected formation energy = -0.227 eV per atom

---

# 19
The following is a PBE-GGA calculation of a geometry-optimized KTl2S8 structure, from the Alexandria database.

Lattice parameters (Å, degrees): 5.8913 6.2484 9.1619 75.80 84.93 77.51
Last column: nearest neighbours and their distance in Å.
Space group P-1 (No. 2)
Asymmetric unit:
K  0.0000  0.0000  0.0000  4 S 3.21-3.34
Tl  0.1942  0.1681  0.3423  5 S 3.07-3.39
S  0.2946  0.0649  0.6864  1 S 2.05
S  0.3052  0.6325  0.3297  1 S 1.99
S  0.3340  0.4930  0.0062  1 S 1.97
S  0.3554  0.3733  0.6919  2 S 1.99-2.05

Uncorrected formation energy = -0.199 eV per atom

---

# 20
The following is a PBE-GGA calculation of a geometry-optimized K2TlS2 structure, from the Alexandria database.

Lattice parameters (Å, degrees): 4.9176 4.9176 12.9293 90.00 90.00 90.00
Last column: nearest neighbours and their distance in Å.
Space group I4/mmm (No. 139)
Asymmetric unit:
K  0.0000  0.5000  0.2500  4 S 3.10
Tl  0.0000  0.0000  0.0000  8 S 3.73, 8 K 4.06
S  0.0000  0.0000  0.3966  1 S 2.67

ΔE to the lowest computed polymorph = 8.54 kcal/mol of atoms
Uncorrected formation energy = -0.415 eV per atom

---

# 21
The following is a PBE-GGA calculation of a geometry-optimized KTlS6 structure, from the Alexandria database.

Lattice parameters (Å, degrees): 5.9540 5.9990 7.4931 86.55 86.26 84.50
Last column: nearest neighbours and their distance in Å.
Space group P-1 (No. 2)
Asymmetric unit:
K  0.0000  0.0000  0.0000  6 S 3.25-3.63
Tl  0.5000  0.5000  0.0000  6 S 3.20-3.56
S  0.0663  0.4736  0.7739  1 S 2.02
S  0.2883  0.2865  0.6171  2 S 2.01-2.02
S  0.4760  0.0664  0.7731  1 S 2.01

Uncorrected formation energy = -0.184 eV per atom

---

# 22
The following is a PBE-GGA calculation of a geometry-optimized KTl2S10 structure, from the Alexandria database.

Lattice parameters (Å, degrees): 5.1523 28.6889 5.6845 90.00 98.03 90.00
Last column: nearest neighbours and their distance in Å.
Space group P2_1/c (No. 14)
Asymmetric unit:
K  0.0000  0.0000  0.0000  6 S 3.24-3.44
Tl  0.2706  0.1426  0.6972  4 S 3.02-3.23
S  0.0945  0.7215  0.4266  2 S 1.98-2.20
S  0.2238  0.5846  0.8571  1 S 2.05
S  0.2895  0.7226  0.1511  2 S 1.98-2.20
S  0.3017  0.5868  0.2203  2 S 2.04-2.05
S  0.3027  0.0946  0.1889  1 S 2.04

Uncorrected formation energy = -0.168 eV per atom